# 1
Computed, not measured: a relaxed structure of CaSm2Cl8 at the PBE level of DFT.

## Properties
Electronic total energy = -4.67 eV per atom
Spin magnetization = 0.00 μB per formula unit
Energy relative to the elements, uncorrected = -2.29 eV per atom
Mass density = 3.1 Mg/m³

abc: 3.9836 7.9556 10.8437
angles: 81.46 100.58 90.00
Atoms (fractional coordinates):
Ca  0.5000  0.0000  0.0000
Sm  0.1587  0.6634  0.3173
Sm  0.8413  0.3366  0.6827
Cl  0.6151  0.4798  0.2302
Cl  0.3687  0.0695  0.7373
Cl  0.2437  0.3349  0.4873
Cl  0.0200  0.7651  0.0400
Cl  0.7563  0.6651  0.5127
Cl  0.6313  0.9305  0.2627
Cl  0.3849  0.5202  0.7698
Cl  0.9800  0.2349  0.9600

=====

# 2
Computed, not measured: a relaxed structure of Ti2TcIr2 at the PBE level of DFT.

## Properties
Offset from the most stable computed form = 0.02 eV/f.u.
Electronic total energy = -9.19 eV per atom
Spin magnetization = 0.00 μB per formula unit
Mass density = 12.3 Mg/m³
Energy of formation = -0.410 eV per atom

abc: 7.3280 7.3280 2.9029
angles: 90.00 90.00 90.00
Atoms (fractional coordinates):
Ir  0.3661  0.8661  0.0000
Ir  0.8661  0.6339  0.0000
Ir  0.6339  0.1339  0.0000
Ir  0.1339  0.3661  0.0000
Tc  0.0000  0.0000  0.0000
Tc  0.5000  0.5000  0.0000
Ti  0.1662  0.6662  0.5000
Ti  0.6662  0.8338  0.5000
Ti  0.8338  0.3338  0.5000
Ti  0.3338  0.1662  0.5000

=====

# 3
Computed, not measured: a relaxed structure of Y2Er4TmMg at the PBE level of DFT.

## Properties
Electronic total energy = -4.63 eV per atom
Spin magnetization = 0.00 μB per formula unit
Mass density = 7.2 Mg/m³
Energy of formation = 0.028 eV per atom

abc: 4.9133 4.9251 11.1155
angles: 63.69 90.00 90.00
Atoms (fractional coordinates):
Y  0.0000  0.0000  0.0000
Y  0.5000  0.0000  0.5000
Er  0.0000  0.7502  0.7501
Er  0.0000  0.2498  0.2499
Er  0.5000  0.7495  0.2498
Er  0.5000  0.2505  0.7502
Tm  0.0000  0.5000  0.5000
Mg  0.5000  0.5000  0.0000